(1)
The following is a DFT calculation (GGA-PBE) of a geometry-optimized PmRhAu structure.

Cell lengths 4.6434, 4.6434, 4.6434 Å; angles 60.00, 60.00, 60.00 degrees
Sites, in units of the cell vectors:
Pm 0.0000 0.0000 0.0000
Rh 0.2500 0.2500 0.2500
Au 0.5000 0.5000 0.5000

Results
* calculated density: 10.4 g/cm³
* relative energy among the computed polymorphs: 0.123 eV per atom
* raw total energy: -5.593 eV/atom
* energy of formation from the pure elements: -466 meV per atom

=====

(2)
The following is a DFT calculation (GGA-PBE) of a geometry-optimized ScMnCo10 structure.

Cell lengths 4.0075, 4.7218, 8.1345 Å; angles 90.00, 90.00, 90.00 degrees
Sites, in units of the cell vectors:
Sc 0.0000 0.0000 0.0000
Mn 0.0000 0.5000 0.5000
Co 0.0000 0.0000 0.3410
Co 0.0000 0.0000 0.6590
Co 0.0000 0.5000 0.1843
Co 0.0000 0.5000 0.8157
Co 0.5000 0.0000 0.5000
Co 0.5000 0.2496 0.2503
Co 0.5000 0.2496 0.7497
Co 0.5000 0.5000 0.0000
Co 0.5000 0.7504 0.2503
Co 0.5000 0.7504 0.7497

Results
* calculated density: 7.4 g/cm³
* raw total energy: -7.145 eV/atom
* energy of formation from the pure elements: 69 meV per atom

=====

(3)
The following is a DFT calculation (GGA-PBE) of a geometry-optimized CaGePb2O structure.

Cell lengths 5.1161, 5.1161, 4.5730 Å; angles 90.00, 90.00, 90.00 degrees
Sites, in units of the cell vectors:
Ca 0.0000 0.0000 0.0000
Ge 0.5000 0.5000 0.0000
Pb 0.0000 0.5000 0.5000
Pb 0.5000 0.0000 0.5000
O 0.0000 0.0000 0.5000

Results
* E_form (uncorrected): -0.690 eV/atom
* calculated density: 7.5 g/cm³
* raw total energy: -4.489 eV/atom

=====

(4)
The following is a DFT calculation (GGA-PBE) of a geometry-optimized CaSmTlGa structure.

Cell lengths 5.3391, 5.3391, 5.3391 Å; angles 60.00, 60.00, 60.00 degrees
Sites, in units of the cell vectors:
Ca 0.0000 0.0000 0.0000
Sm 0.5000 0.5000 0.5000
Tl 0.7500 0.7500 0.7500
Ga 0.2500 0.2500 0.2500

Results
* calculated density: 7.2 g/cm³
* relative energy among the computed polymorphs: 0.039 eV per atom
* raw total energy: -3.445 eV/atom
* energy of formation from the pure elements: -416 meV per atom